# 1
Computed, not measured: an optimized crystal structure of SrZn2Pb at the PBE level of DFT.

Unit cell a=4.7591 b=4.7591 c=4.5696 alpha=90.00 beta=90.00 gamma=90.00
Space group P4/mmm (No. 123)
Unique sites:
Sr: 0.0000 0.0000 0.0000 [1 per cell]
Zn: 0.0000 0.5000 0.5000 [2 per cell]
Pb: 0.5000 0.5000 0.0000 [1 per cell]

Values from the calculation:
DFT formation energy (eV/atom): -0.09

***

# 2
Computed, not measured: an optimized crystal structure of Sr2ZnPb at the PBE level of DFT.

Unit cell a=4.6676 b=4.6676 c=24.8672 alpha=90.00 beta=90.00 gamma=120.00
Space group R3m (No. 160, hexagonal axes)
Unique sites:
Sr: 0.0000 0.0000 0.0000 [3 per cell]
Sr: 0.0000 0.0000 0.1855 [3 per cell]
Zn: 0.0000 0.0000 0.4402 [3 per cell]
Pb: 0.0000 0.0000 0.7533 [3 per cell]

Values from the calculation:
DFT formation energy (eV/atom): -0.24

***

# 3
Computed, not measured: an optimized crystal structure of Sr2ZnPb at the PBE level of DFT.

Unit cell a=9.9731 b=4.3083 c=7.1066 alpha=90.00 beta=106.80 gamma=90.00
Space group C2/m (No. 12)
Unique sites:
Sr: 0.2442 0.0000 0.2447 [4 per cell]
Zn: 0.0000 0.5000 0.0000 [2 per cell]
Pb: 0.0000 0.0000 0.5000 [2 per cell]

Values from the calculation:
DFT formation energy (eV/atom): -0.20